Record 1
This record from Alexandria describes a relaxed structure of Nd2CuS2O2. The functional is GGA-PBE.

The structure in POSCAR format:
```
Nd2CuS2O2
1.0
-3.764 0.968 -0.885
0.793 -3.452 1.827
-1.025 4.916 9.732
Cu O S Nd
1 2 2 2
Direct
0.000 0.000 0.000 Cu
0.333 0.667 0.419 O
0.667 0.333 0.581 O
0.000 0.000 0.191 S
0.000 0.000 0.809 S
0.667 0.333 0.362 Nd
0.333 0.667 0.638 Nd
```

The density of states at the Fermi level comes out at 5.07 states/eV/cell. As for the magnetic moment: 0.0 μB/f.u. Its raw formation energy is -1376 kJ/mol of formula units.

Record 2
This record from Alexandria describes a relaxed structure of Nd2CuTe2S2O14. The functional is GGA-PBE.

The structure in POSCAR format:
```
Nd2CuTe2S2O14
1.0
-5.289 0.008 0.022
-0.613 -8.104 -0.057
2.250 3.823 7.148
Nd O Te S Cu
2 14 2 2 1
Direct
0.066 0.250 0.981 Nd
0.934 0.750 0.019 Nd
0.268 0.184 0.735 O
0.260 0.565 0.119 O
0.257 0.932 0.351 O
0.732 0.816 0.265 O
0.157 0.583 0.755 O
0.175 0.915 0.899 O
0.743 0.068 0.649 O
0.450 0.256 0.215 O
0.850 0.261 0.437 O
0.843 0.417 0.245 O
0.825 0.085 0.101 O
0.740 0.435 0.881 O
0.150 0.739 0.563 O
0.550 0.744 0.785 O
0.491 0.735 0.354 Te
0.509 0.265 0.646 Te
0.259 0.743 0.745 S
0.741 0.257 0.255 S
0.000 0.000 0.500 Cu
```

As for the magnetic moment: 1.0 μB/f.u. Its raw formation energy is -3648 kJ/mol of formula units.